No. 1
The following is a DFT calculation (PBE) of Y7Tm2Th2 after structural relaxation.

Calculated values
DOS at the Fermi energy (states/eV/cell): 16.4
Space group: No. 47
Uncorrected energy (eV/atom): -6.11

Unit cell a=5.586 b=6.911 c=9.451 alpha=90.00 beta=90.00 gamma=90.00
Sites, in units of the cell vectors:
Y 0.000 0.000 0.000
Y 0.000 0.500 0.170
Y 0.000 0.500 0.830
Y 0.500 0.000 0.310
Y 0.500 0.000 0.690
Y 0.500 0.500 0.341
Y 0.500 0.500 0.659
Tm 0.000 0.254 0.500
Tm 0.000 0.746 0.500
Th 0.500 0.274 0.000
Th 0.500 0.726 0.000

=====

No. 2
The following is a DFT calculation (PBE) of YTm4Th4 after structural relaxation.

Calculated values
DOS at the Fermi energy (states/eV/cell): 14.3
Space group: No. 139
Uncorrected energy (eV/atom): -5.96

Unit cell a=7.917 b=7.917 c=7.917 alpha=95.77 beta=95.77 gamma=143.03
Sites, in units of the cell vectors:
Y 0.000 0.000 0.000
Tm 0.000 0.332 0.332
Tm 0.000 0.668 0.668
Tm 0.332 0.000 0.332
Tm 0.668 0.000 0.668
Th 0.333 0.333 0.666
Th 0.333 0.667 0.000
Th 0.667 0.333 0.000
Th 0.667 0.667 0.334

=====

No. 3
The following is a DFT calculation (PBE) of YTm4Th5 after structural relaxation.

Calculated values
DOS at the Fermi energy (states/eV/cell): 15.8
Space group: No. 12
Uncorrected energy (eV/atom): -6.01

Unit cell a=8.940 b=8.940 c=11.079 alpha=106.88 beta=106.88 gamma=22.15
Sites, in units of the cell vectors:
Y 0.000 0.000 0.000
Tm 0.197 0.197 0.087
Tm 0.406 0.406 0.190
Tm 0.594 0.594 0.810
Tm 0.803 0.803 0.913
Th 0.000 0.000 0.500
Th 0.302 0.302 0.404
Th 0.390 0.390 0.705
Th 0.610 0.610 0.295
Th 0.698 0.698 0.596

=====

No. 4
The following is a DFT calculation (PBE) of Y11Tm9Th4 after structural relaxation.

Calculated values
DOS at the Fermi energy (states/eV/cell): 35.6
Space group: No. 65
Uncorrected energy (eV/atom): -5.76

Unit cell a=15.085 b=15.085 c=3.689 alpha=90.00 beta=90.00 gamma=112.78
Sites, in units of the cell vectors:
Y 0.000 0.000 0.000
Y 0.045 0.407 0.000
Y 0.159 0.841 0.000
Y 0.283 0.283 0.000
Y 0.363 0.637 0.000
Y 0.407 0.045 0.000
Y 0.593 0.955 0.000
Y 0.637 0.363 0.000
Y 0.717 0.717 0.000
Y 0.841 0.159 0.000
Y 0.955 0.593 0.000
Tm 0.066 0.211 0.500
Tm 0.163 0.635 0.500
Tm 0.211 0.066 0.500
Tm 0.365 0.837 0.500
Tm 0.500 0.500 0.500
Tm 0.635 0.163 0.500
Tm 0.789 0.934 0.500
Tm 0.837 0.365 0.500
Tm 0.934 0.789 0.500
Th 0.245 0.445 0.500
Th 0.445 0.245 0.500
Th 0.555 0.755 0.500
Th 0.755 0.555 0.500

=====

No. 5
The following is a DFT calculation (PBE) of Y3Tm2Th after structural relaxation.

Calculated values
DOS at the Fermi energy (states/eV/cell): 17.2
Space group: No. 15
Uncorrected energy (eV/atom): -5.87

Unit cell a=6.644 b=6.644 c=8.900 alpha=98.51 beta=98.51 gamma=95.86
Sites, in units of the cell vectors:
Y 0.063 0.937 0.750
Y 0.188 0.353 0.016
Y 0.353 0.188 0.516
Y 0.647 0.812 0.484
Y 0.812 0.647 0.984
Y 0.937 0.063 0.250
Tm 0.123 0.625 0.380
Tm 0.375 0.877 0.120
Tm 0.625 0.123 0.880
Tm 0.877 0.375 0.620
Th 0.385 0.615 0.750
Th 0.615 0.385 0.250

=====

No. 6
The following is a DFT calculation (PBE) of Y2TmTh2 after structural relaxation.

Calculated values
DOS at the Fermi energy (states/eV/cell): 19.7
Space group: No. 15
Uncorrected energy (eV/atom): -6.15

Unit cell a=6.396 b=6.396 c=8.688 alpha=102.32 beta=102.32 gamma=95.08
Sites, in units of the cell vectors:
Y 0.061 0.251 0.131
Y 0.251 0.061 0.631
Y 0.749 0.939 0.369
Y 0.939 0.749 0.869
Tm 0.206 0.794 0.250
Tm 0.794 0.206 0.750
Th 0.000 0.500 0.500
Th 0.500 0.000 0.000
Th 0.500 0.500 0.000
Th 0.500 0.500 0.500

=====

No. 7
The following is a DFT calculation (PBE) of Y2Tm12Th5 after structural relaxation.

Calculated values
DOS at the Fermi energy (states/eV/cell): 29.4
Space group: No. 12
Uncorrected energy (eV/atom): -5.24

Unit cell a=9.903 b=9.903 c=10.128 alpha=111.72 beta=111.72 gamma=41.40
Sites, in units of the cell vectors:
Y 0.217 0.783 0.000
Y 0.783 0.217 0.000
Tm 0.004 0.004 0.325
Tm 0.086 0.582 0.486
Tm 0.097 0.588 0.137
Tm 0.412 0.903 0.863
Tm 0.418 0.914 0.514
Tm 0.473 0.473 0.762
Tm 0.527 0.527 0.238
Tm 0.582 0.086 0.486
Tm 0.588 0.097 0.137
Tm 0.903 0.412 0.863
Tm 0.914 0.418 0.514
Tm 0.996 0.996 0.675
Th 0.181 0.181 0.211
Th 0.312 0.312 0.816
Th 0.500 0.500 0.500
Th 0.688 0.688 0.184
Th 0.819 0.819 0.789

=====

No. 8
The following is a DFT calculation (PBE) of Y7Tm2Th after structural relaxation.

Calculated values
DOS at the Fermi energy (states/eV/cell): 17.2
Space group: No. 65
Uncorrected energy (eV/atom): -5.43

Unit cell a=9.251 b=9.251 c=5.505 alpha=90.00 beta=90.00 gamma=123.04
Sites, in units of the cell vectors:
Y 0.000 0.000 0.000
Y 0.210 0.437 0.000
Y 0.290 0.710 0.500
Y 0.437 0.210 0.000
Y 0.563 0.790 0.000
Y 0.710 0.290 0.500
Y 0.790 0.563 0.000
Tm 0.202 0.798 0.000
Tm 0.798 0.202 0.000
Th 0.500 0.500 0.500

=====

Copy entry 3 word for word.
The following is a DFT calculation (PBE) of YTm4Th5 after structural relaxation.

Calculated values
DOS at the Fermi energy (states/eV/cell): 15.8
Space group: No. 12
Uncorrected energy (eV/atom): -6.01

Unit cell a=8.940 b=8.940 c=11.079 alpha=106.88 beta=106.88 gamma=22.15
Sites, in units of the cell vectors:
Y 0.000 0.000 0.000
Tm 0.197 0.197 0.087
Tm 0.406 0.406 0.190
Tm 0.594 0.594 0.810
Tm 0.803 0.803 0.913
Th 0.000 0.000 0.500
Th 0.302 0.302 0.404
Th 0.390 0.390 0.705
Th 0.610 0.610 0.295
Th 0.698 0.698 0.596

=====

> uncorrected energy of number 5 (Y3Tm2Th)?

-5.87 eV/atom

=====

> What is the DOS at the Fermi energy in the sixth record?

19.7 states/eV/cell

=====

> Among the records above, which one has the highest uncorrected energy?

Y2Tm12Th5